DFT (GGA-PBE) results for a relaxed structure of CsRu.

Lattice parameters (Å, degrees): 7.9256 7.9256 7.9256 90.00 90.00 90.00
Fractional positions:
1 Cs 0.0000 0.2500 0.5000
2 Cs 0.0000 0.7500 0.5000
3 Cs 0.2500 0.5000 0.0000
4 Cs 0.5000 0.0000 0.2500
5 Cs 0.5000 0.0000 0.7500
6 Cs 0.7500 0.5000 0.0000
7 Ru 0.0000 0.5000 0.2500
8 Ru 0.0000 0.5000 0.7500
9 Ru 0.2500 0.0000 0.5000
10 Ru 0.5000 0.2500 0.0000
11 Ru 0.5000 0.7500 0.0000
12 Ru 0.7500 0.0000 0.5000

Results
ΔE to the lowest computed polymorph: 3.75 eV per formula unit
N(E_F): 4.14 states/eV/f.u.
ΔE_f: 2.596 eV/atom
space group: Pm-3n
spin magnetization: 8.277 Bohr magnetons per cell